No. 1
A plane-wave DFT calculation with PBEsol was carried out for a relaxed structure of TlCd2In.

a b c (Å): 3.231 3.231 9.200
angles (deg): 90.00 90.00 90.00
Space group P4mm (No. 99)
Asymmetric unit:
Tl 0.000 0.000 0.000 x1
Cd 0.000 0.000 0.476 x1
Cd 0.500 0.500 0.258 x1
In 0.500 0.500 0.719 x1

Calculated values
Excess energy over the best structure of this formula in the dataset, meV per atom: 0
Electronic total energy, eV per cell: -7.9
N(E_F), states/eV/cell: 1.5

No. 2
A plane-wave DFT calculation with PBEsol was carried out for a relaxed structure of Tl2CdIn.

a b c (Å): 3.642 5.326 5.352
angles (deg): 90.00 90.00 90.00
Space group Pmmm (No. 47)
Asymmetric unit:
Tl 0.000 0.000 0.000 x1
Tl 0.500 0.000 0.500 x1
Cd 0.000 0.500 0.500 x1
In 0.500 0.500 0.000 x1

Calculated values
Excess energy over the best structure of this formula in the dataset, meV per atom: 33
Electronic total energy, eV per cell: -9.2
N(E_F), states/eV/cell: 2.0

No. 3
A plane-wave DFT calculation with PBEsol was carried out for a relaxed structure of TlCdIn2.

a b c (Å): 4.605 4.605 9.409
angles (deg): 90.00 90.00 90.00
Space group I-4m2 (No. 119)
Asymmetric unit:
Tl 0.000 0.000 0.000 x2
Cd 0.000 0.500 0.250 x2
In 0.000 0.000 0.500 x2
In 0.000 0.500 0.750 x2

Calculated values
Electronic total energy, eV per cell: -19.3
N(E_F), states/eV/cell: 3.4

No. 4
A plane-wave DFT calculation with PBEsol was carried out for a relaxed structure of TlCdIn2.

a b c (Å): 3.147 5.280 6.297
angles (deg): 90.00 104.01 90.00
Space group P2/m (No. 10)
Asymmetric unit:
Tl 0.000 0.000 0.000 x1
Cd 0.500 0.000 0.500 x1
In 0.365 0.500 0.741 x2

Calculated values
Electronic total energy, eV per cell: -9.6
N(E_F), states/eV/cell: 1.8

No. 5
A plane-wave DFT calculation with PBEsol was carried out for a relaxed structure of Tl2CdIn.

a b c (Å): 3.211 5.276 6.317
angles (deg): 90.00 104.12 90.00
Space group Pm (No. 6)
Asymmetric unit:
Tl 0.000 0.000 0.000 x1
Tl 0.347 0.500 0.695 x1
Cd 0.596 0.500 0.207 x1
In 0.741 0.000 0.482 x1

Calculated values
Excess energy over the best structure of this formula in the dataset, meV per atom: 12
Electronic total energy, eV per cell: -9.3
N(E_F), states/eV/cell: 1.6

No. 6
A plane-wave DFT calculation with PBEsol was carried out for a relaxed structure of TlCd2In.

a b c (Å): 3.079 5.554 11.369
angles (deg): 90.00 90.00 90.00
Space group Imm2 (No. 44)
Asymmetric unit:
Tl 0.000 0.000 0.000 x2
Cd 0.000 0.000 0.484 x2
Cd 0.000 0.500 0.756 x2
In 0.000 0.500 0.228 x2

Calculated values
Excess energy over the best structure of this formula in the dataset, meV per atom: 30
Electronic total energy, eV per cell: -15.5
N(E_F), states/eV/cell: 3.0

No. 7
A plane-wave DFT calculation with PBEsol was carried out for a relaxed structure of Tl2CdIn.

a b c (Å): 7.455 7.455 7.455
angles (deg): 90.00 90.00 90.00
Space group Fm-3m (No. 225)
Asymmetric unit:
Tl 0.250 0.250 0.250 x8
Cd 0.000 0.000 0.000 x4
In 0.000 0.000 0.500 x4

Calculated values
Excess energy over the best structure of this formula in the dataset, meV per atom: 30
Electronic total energy, eV per cell: -36.9
N(E_F), states/eV/cell: 5.1

No. 8
A plane-wave DFT calculation with PBEsol was carried out for a relaxed structure of Tl2CdIn.

a b c (Å): 3.483 5.424 10.980
angles (deg): 90.00 90.00 90.00
Space group Imm2 (No. 44)
Asymmetric unit:
Tl 0.000 0.000 0.000 x2
Tl 0.000 0.500 0.233 x2
Cd 0.000 0.000 0.489 x2
In 0.000 0.500 0.758 x2

Calculated values
Excess energy over the best structure of this formula in the dataset, meV per atom: 19
Electronic total energy, eV per cell: -18.5
N(E_F), states/eV/cell: 3.9

Repeat the eighth record exactly.
A plane-wave DFT calculation with PBEsol was carried out for a relaxed structure of Tl2CdIn.

a b c (Å): 3.483 5.424 10.980
angles (deg): 90.00 90.00 90.00
Space group Imm2 (No. 44)
Asymmetric unit:
Tl 0.000 0.000 0.000 x2
Tl 0.000 0.500 0.233 x2
Cd 0.000 0.000 0.489 x2
In 0.000 0.500 0.758 x2

Calculated values
Excess energy over the best structure of this formula in the dataset, meV per atom: 19
Electronic total energy, eV per cell: -18.5
N(E_F), states/eV/cell: 3.9